A plane-wave DFT calculation with GGA-PBE was carried out for a geometry-optimized SmDyY3 structure.

Results
Its total magnetization is 0.0 μB/f.u. The raw total energy is -5.438 eV per atom. As for the density of states at the Fermi level: 8.362 states/eV/f.u.

```
data_SmDyY3
_chemical_formula_sum 'Sm2 Dy2 Y6'
_space_group_name_H-M_alt 'P 1 21/m 1'
_space_group_IT_number 11
_cell_length_a 3.629
_cell_length_b 11.707
_cell_length_c 8.500
_cell_angle_alpha 90.00
_cell_angle_beta 102.29
_cell_angle_gamma 90.00
loop_
_space_group_symop_operation_xyz
'x,y,z'
'-x,-y,-z'
'-x,y+1/2,-z'
'x,-y+1/2,z'
loop_
_atom_site_label
_atom_site_type_symbol
_atom_site_fract_x
_atom_site_fract_y
_atom_site_fract_z
_atom_site_occupancy
Sm1 Sm 0.002 0.250 0.003 1
Dy1 Dy 0.328 0.750 0.657 1
Y1 Y 0.154 0.001 0.308 1
Y2 Y 0.331 0.250 0.663 1
```